First-principles (GGA-PBE) data for Pm5NdDy2Th after structural relaxation, as listed in Alexandria via LeMat-Bulk.

Cell and atoms, written as POSCAR:
```
Pm5NdDy2Th
1.0
5.7126 0.0000 0.0000
-2.8563 10.2187 0.0000
0.0000 0.0000 10.5599
Dy Nd Th Pm
4 2 2 10
Direct
0.1138 0.2277 0.7334 Dy
0.8862 0.7723 0.2334 Dy
0.8840 0.7680 0.8195 Dy
0.1160 0.2320 0.3195 Dy
0.4105 0.8209 0.4480 Nd
0.5895 0.1791 0.9480 Nd
0.1994 0.3988 0.0132 Th
0.8006 0.6012 0.5132 Th
0.2942 0.5883 0.7052 Pm
0.2767 0.5534 0.3147 Pm
0.3885 0.7771 0.0270 Pm
0.4776 0.9552 0.7408 Pm
0.9841 0.9683 0.5222 Pm
0.0159 0.0317 0.0222 Pm
0.7058 0.4117 0.2052 Pm
0.7233 0.4466 0.8147 Pm
0.6115 0.2229 0.5270 Pm
0.5224 0.0448 0.2408 Pm
```

Summary:
SG   No. 36
Energy   -4.857 eV/atom

***

First-principles (GGA-PBE) data for PmNd2DyTl2 after structural relaxation, as listed in Alexandria via LeMat-Bulk.

Cell and atoms, written as POSCAR:
```
PmNd2DyTl2
1.0
5.2117 0.0000 0.0000
0.0000 6.9335 0.0000
0.0000 0.0000 10.2399
Nd Tl Dy Pm
4 4 2 2
Direct
0.0000 0.3298 0.1834 Nd
0.5000 0.0559 0.0451 Nd
0.0000 0.8298 0.8166 Nd
0.5000 0.5559 0.9549 Nd
0.0000 0.7970 0.1431 Tl
0.0000 0.2970 0.8569 Tl
0.5000 0.7211 0.6279 Tl
0.5000 0.2211 0.3721 Tl
0.5000 0.1806 0.6863 Dy
0.5000 0.6806 0.3137 Dy
0.0000 0.4612 0.5435 Pm
0.0000 0.9612 0.4565 Pm
```

Summary:
SG   No. 26
Energy   -4.208 eV/atom

***

First-principles (GGA-PBE) data for Pm6Nd2Dy3Tl after structural relaxation, as listed in Alexandria via LeMat-Bulk.

Cell and atoms, written as POSCAR:
```
Pm6Nd2Dy3Tl
1.0
6.2130 -0.0062 -0.0001
-3.1103 5.3784 -0.0001
-1.0410 -1.8024 11.7211
Nd Dy Pm Tl
2 3 6 1
Direct
0.6662 0.3338 0.0000 Nd
0.3338 0.6662 0.0000 Nd
0.1672 0.8328 0.5000 Dy
0.5000 0.5000 0.5000 Dy
0.8328 0.1672 0.5000 Dy
0.7573 0.7573 0.2522 Pm
0.5898 0.9164 0.7488 Pm
0.0836 0.4102 0.2512 Pm
0.9164 0.5898 0.7488 Pm
0.4102 0.0836 0.2512 Pm
0.2427 0.2427 0.7478 Pm
0.0000 0.0000 0.0000 Tl
```

Summary:
SG   No. 12
Energy   -4.546 eV/atom

***

First-principles (GGA-PBE) data for Pm2Nd6Dy3Tl after structural relaxation, as listed in Alexandria via LeMat-Bulk.

Cell and atoms, written as POSCAR:
```
Pm2Nd6Dy3Tl
1.0
6.2383 -0.0081 0.0010
-3.1246 5.3994 0.0010
-1.0498 -1.8177 11.7406
Pm Nd Dy Tl
2 6 3 1
Direct
0.6662 0.3338 0.0000 Pm
0.3338 0.6662 0.0000 Pm
0.2430 0.2430 0.7482 Nd
0.0834 0.4102 0.2507 Nd
0.4102 0.0834 0.2507 Nd
0.7570 0.7570 0.2518 Nd
0.5898 0.9166 0.7493 Nd
0.9166 0.5898 0.7493 Nd
0.8327 0.1673 0.5000 Dy
0.1673 0.8327 0.5000 Dy
0.5000 0.5000 0.5000 Dy
0.0000 0.0000 0.0000 Tl
```

Summary:
SG   No. 12
Energy   -4.548 eV/atom

***

First-principles (GGA-PBE) data for Pm3Nd2Dy6Tl after structural relaxation, as listed in Alexandria via LeMat-Bulk.

Cell and atoms, written as POSCAR:
```
Pm3Nd2Dy6Tl
1.0
6.1565 -0.0028 0.0002
-3.0792 5.3312 0.0002
-1.0328 -1.7883 11.6327
Dy Pm Nd Tl
6 3 2 1
Direct
0.2451 0.2451 0.7514 Dy
0.4096 0.0821 0.2474 Dy
0.7549 0.7549 0.2486 Dy
0.5904 0.9179 0.7526 Dy
0.9179 0.5904 0.7526 Dy
0.0821 0.4096 0.2474 Dy
0.1674 0.8326 0.5000 Pm
0.5000 0.5000 0.5000 Pm
0.8326 0.1674 0.5000 Pm
0.6662 0.3338 0.0000 Nd
0.3338 0.6662 0.0000 Nd
0.0000 0.0000 0.0000 Tl
```

Summary:
SG   No. 12
Energy   -4.510 eV/atom

***

First-principles (GGA-PBE) data for PmNdDy2Tl4 after structural relaxation, as listed in Alexandria via LeMat-Bulk.

Cell and atoms, written as POSCAR:
```
PmNdDy2Tl4
1.0
5.4351 0.0000 0.0000
2.7176 4.7070 0.0000
2.7176 1.5690 8.8879
Tl Nd Dy Pm
4 1 2 1
Direct
0.3753 0.3753 0.8740 Tl
0.1253 0.1253 0.6240 Tl
0.8747 0.8747 0.3760 Tl
0.6247 0.6247 0.1260 Tl
0.0000 0.0000 0.0000 Nd
0.7500 0.7500 0.7499 Dy
0.2500 0.2500 0.2501 Dy
0.5000 0.5000 0.5000 Pm
```

Summary:
SG   No. 166
Energy   -3.885 eV/atom

***

First-principles (GGA-PBE) data for Pm3NdDyTm after structural relaxation, as listed in Alexandria via LeMat-Bulk.

Cell and atoms, written as POSCAR:
```
Pm3NdDyTm
1.0
5.1202 0.0000 0.0000
0.0000 7.9724 -1.1641
0.0000 -3.3546 10.2749
Dy Tm Pm Nd
2 2 6 2
Direct
0.2500 0.6251 0.1253 Dy
0.7500 0.3749 0.8747 Dy
0.2500 0.1247 0.6248 Tm
0.7500 0.8753 0.3752 Tm
0.7500 0.3780 0.2082 Pm
0.7500 0.3718 0.5423 Pm
0.2500 0.6282 0.4577 Pm
0.2500 0.6220 0.7918 Pm
0.7500 0.8728 0.0424 Pm
0.2500 0.1272 0.9576 Pm
0.7500 0.8772 0.7073 Nd
0.2500 0.1228 0.2927 Nd
```

Summary:
SG   No. 11
Energy   -4.660 eV/atom

***

First-principles (GGA-PBE) data for Pm6NdDy2Tm3 after structural relaxation, as listed in Alexandria via LeMat-Bulk.

Cell and atoms, written as POSCAR:
```
Pm6NdDy2Tm3
1.0
-6.1772 0.6169 0.6028
2.5142 -5.6653 -0.6955
2.2487 0.7149 11.5942
Nd Pm Tm Dy
1 6 3 2
Direct
0.0000 0.0000 0.0000 Nd
0.9152 0.5812 0.7470 Pm
0.7509 0.7509 0.2530 Pm
0.4188 0.0848 0.2530 Pm
0.2491 0.2491 0.7470 Pm
0.0848 0.4188 0.2530 Pm
0.5812 0.9152 0.7470 Pm
0.8331 0.1669 0.5000 Tm
0.1669 0.8331 0.5000 Tm
0.5000 0.5000 0.5000 Tm
0.6666 0.3334 0.0000 Dy
0.3334 0.6666 0.0000 Dy
```

Summary:
SG   No. 12
Energy   -4.642 eV/atom

***

> What is the energy in the second record?

-4.208 eV/atom